Computed, not measured: a relaxed structure of TmTh2H8 at the PBE level of DFT.

Lattice parameters (Å, degrees): 6.815 6.815 6.815 146.68 138.72 54.05
Sites, in units of the cell vectors:
Tm: 0.000 0.000 0.000
Th: 0.333 0.333 0.000
Th: 0.667 0.667 0.000
H: 0.087 0.848 0.239
H: 0.202 0.702 0.500
H: 0.244 0.500 0.744
H: 0.390 0.152 0.239
H: 0.610 0.848 0.761
H: 0.756 0.500 0.256
H: 0.798 0.298 0.500
H: 0.913 0.152 0.761

space group = Immm
DFT total energy = -4.689 eV/atom